[1]
# CdIn4Pd5

A relaxed CdIn4Pd5 crystal (GGA-PBE, the Alexandria database).

Properties
- uncorrected energy (eV/atom) = -4.263
- volume (Å³/cell) = 179

CIF file:
```
data_CdIn4Pd5
_chemical_formula_sum 'Cd1 In4 Pd5'
_cell_length_a 3.296
_cell_length_b 3.296
_cell_length_c 16.437
_cell_angle_alpha 90.00
_cell_angle_beta 90.00
_cell_angle_gamma 90.00
_space_group_name_H-M_alt 'P 4/m m m'
_space_group_IT_number 123
_space_group_name_Hall '-P 4 2'
loop_
_atom_site_label
_atom_site_type_symbol
_atom_site_fract_x
_atom_site_fract_y
_atom_site_fract_z
Cd1 Cd 0.000 0.000 0.000
In1 In 0.000 0.000 0.200
In2 In 0.000 0.000 0.400
Pd1 Pd 0.500 0.500 0.104
Pd2 Pd 0.500 0.500 0.300
Pd3 Pd 0.500 0.500 0.500
```

[2]
# CdIn2Pd

A relaxed CdIn2Pd crystal (GGA-PBE, the Alexandria database).

Properties
- uncorrected energy (eV/atom) = -3.004
- volume (Å³/cell) = 286

CIF file:
```
data_CdIn2Pd
_chemical_formula_sum 'Cd3 In6 Pd3'
_cell_length_a 3.7975
_cell_length_b 3.7975
_cell_length_c 22.8836
_cell_angle_alpha 90.00
_cell_angle_beta 90.00
_cell_angle_gamma 120.00
_space_group_name_H-M_alt 'R 3 m'
_space_group_IT_number 160
_space_group_name_Hall 'R 3 -2"'
loop_
_atom_site_label
_atom_site_type_symbol
_atom_site_fract_x
_atom_site_fract_y
_atom_site_fract_z
Cd1 Cd 0.0000 0.0000 0.0000
In1 In 0.0000 0.0000 0.5715
In2 In 0.0000 0.0000 0.7613
Pd1 Pd 0.0000 0.0000 0.1648
```

[3]
# Cd2In2Pd5

A relaxed Cd2In2Pd5 crystal (GGA-PBE, the Alexandria database).

Properties
- uncorrected energy (eV/atom) = -3.987
- volume (Å³/cell) = 667

CIF file:
```
data_Cd2In2Pd5
_chemical_formula_sum 'Cd8 In8 Pd20'
_cell_length_a 14.021
_cell_length_b 5.303
_cell_length_c 8.972
_cell_angle_alpha 90.00
_cell_angle_beta 90.00
_cell_angle_gamma 90.00
_space_group_name_H-M_alt 'I m a 2'
_space_group_IT_number 46
loop_
_space_group_symop_operation_xyz
'x,y,z'
'-x,-y,z'
'-x+1/2,y,z'
'x+1/2,-y,z'
'x+1/2,y+1/2,z+1/2'
'-x+1/2,-y+1/2,z+1/2'
'-x,y+1/2,z+1/2'
'x,-y+1/2,z+1/2'
loop_
_atom_site_label
_atom_site_type_symbol
_atom_site_fract_x
_atom_site_fract_y
_atom_site_fract_z
Cd1 Cd 0.000 0.000 0.000
Cd2 Cd 0.250 0.057 0.002
In1 In 0.131 0.542 0.001
Pd1 Pd 0.051 0.749 0.751
Pd2 Pd 0.147 0.249 0.752
Pd3 Pd 0.250 0.750 0.252
```

[4]
# Cd3InPd6

A relaxed Cd3InPd6 crystal (GGA-PBE, the Alexandria database).

Properties
- uncorrected energy (eV/atom) = -4.061
- volume (Å³/cell) = 343
- polymorph energy (0 for the lowest one) (kcal/mol of atoms) = 0.00

CIF file:
```
data_Cd3InPd6
_chemical_formula_sum 'Cd6 In2 Pd12'
_cell_length_a 7.781
_cell_length_b 4.696
_cell_length_c 10.034
_cell_angle_alpha 90.00
_cell_angle_beta 110.89
_cell_angle_gamma 90.00
_space_group_name_H-M_alt 'P 1 21/m 1'
_space_group_IT_number 11
loop_
_space_group_symop_operation_xyz
'x,y,z'
'-x,-y,-z'
'-x,y+1/2,-z'
'x,-y+1/2,z'
loop_
_atom_site_label
_atom_site_type_symbol
_atom_site_fract_x
_atom_site_fract_y
_atom_site_fract_z
Cd1 Cd 0.029 0.250 0.409
Cd2 Cd 0.153 0.750 0.185
Cd3 Cd 0.253 0.250 0.022
In1 In 0.437 0.250 0.626
Pd1 Pd 0.062 0.750 0.887
Pd2 Pd 0.145 0.250 0.720
Pd3 Pd 0.266 0.750 0.483
Pd4 Pd 0.345 0.250 0.328
Pd5 Pd 0.360 0.750 0.785
Pd6 Pd 0.459 0.750 0.082
```

[5]
# Cd2In8Pd

A relaxed Cd2In8Pd crystal (GGA-PBE, the Alexandria database).

Properties
- uncorrected energy (eV/atom) = -2.703
- volume (Å³/cell) = 277

CIF file:
```
data_Cd2In8Pd
_chemical_formula_sum 'Cd2 In8 Pd1'
_cell_length_a 4.700
_cell_length_b 4.700
_cell_length_c 12.541
_cell_angle_alpha 90.00
_cell_angle_beta 90.00
_cell_angle_gamma 90.00
_space_group_name_H-M_alt 'P 4/m m m'
_space_group_IT_number 123
_space_group_name_Hall '-P 4 2'
loop_
_atom_site_label
_atom_site_type_symbol
_atom_site_fract_x
_atom_site_fract_y
_atom_site_fract_z
Cd1 Cd 0.000 0.000 0.183
In1 In 0.000 0.500 0.000
In2 In 0.000 0.500 0.374
In3 In 0.500 0.500 0.194
Pd1 Pd 0.000 0.000 0.500
```

[6]
# CdIn2Pd

A relaxed CdIn2Pd crystal (GGA-PBE, the Alexandria database).

Properties
- uncorrected energy (eV/atom) = -3.037
- volume (Å³/cell) = 275

CIF file:
```
data_CdIn2Pd
_chemical_formula_sum 'Cd3 In6 Pd3'
_cell_length_a 3.2589
_cell_length_b 3.2589
_cell_length_c 29.8596
_cell_angle_alpha 90.00
_cell_angle_beta 90.00
_cell_angle_gamma 120.00
_space_group_name_H-M_alt 'R -3 m'
_space_group_IT_number 166
_space_group_name_Hall '-R 3 2"'
loop_
_atom_site_label
_atom_site_type_symbol
_atom_site_fract_x
_atom_site_fract_y
_atom_site_fract_z
Cd1 Cd 0.0000 0.0000 0.0000
In1 In 0.0000 0.0000 0.0973
Pd1 Pd 0.0000 0.0000 0.5000
```

[7]
# Cd2InPd

A relaxed Cd2InPd crystal (GGA-PBE, the Alexandria database).

Properties
- uncorrected energy (eV/atom) = -2.500
- volume (Å³/cell) = 376

CIF file:
```
data_Cd2InPd
_chemical_formula_sum 'Cd8 In4 Pd4'
_cell_length_a 8.315
_cell_length_b 8.315
_cell_length_c 5.434
_cell_angle_alpha 90.00
_cell_angle_beta 90.00
_cell_angle_gamma 90.00
_space_group_name_H-M_alt 'I -4 2 d'
_space_group_IT_number 122
_space_group_name_Hall 'I -4 2bw'
loop_
_atom_site_label
_atom_site_type_symbol
_atom_site_fract_x
_atom_site_fract_y
_atom_site_fract_z
Cd1 Cd 0.198 0.250 0.125
In1 In 0.000 0.000 0.500
Pd1 Pd 0.000 0.000 0.000
```

[8]
# CdIn2Pd4

A relaxed CdIn2Pd4 crystal (GGA-PBE, the Alexandria database).

Properties
- uncorrected energy (eV/atom) = -3.609
- volume (Å³/cell) = 328
- polymorph energy (0 for the lowest one) (kcal/mol of atoms) = 14.15

CIF file:
```
data_CdIn2Pd4
_chemical_formula_sum 'Cd2 In4 Pd8'
_cell_length_a 4.925
_cell_length_b 4.925
_cell_length_c 13.539
_cell_angle_alpha 90.00
_cell_angle_beta 90.00
_cell_angle_gamma 90.00
_space_group_name_H-M_alt 'I 4/m m m'
_space_group_IT_number 139
_space_group_name_Hall '-I 4 2'
loop_
_atom_site_label
_atom_site_type_symbol
_atom_site_fract_x
_atom_site_fract_y
_atom_site_fract_z
Cd1 Cd 0.000 0.000 0.000
In1 In 0.000 0.000 0.385
Pd1 Pd 0.000 0.000 0.195
Pd2 Pd 0.000 0.500 0.000
```

[9]
# CdIn6Pd12

A relaxed CdIn6Pd12 crystal (GGA-PBE, the Alexandria database).

Properties
- uncorrected energy (eV/atom) = -4.584
- volume (Å³/cell) = 1037

CIF file:
```
data_CdIn6Pd12
_chemical_formula_sum 'Cd3 In18 Pd36'
_cell_length_a 11.9712
_cell_length_b 11.9712
_cell_length_c 8.3574
_cell_angle_alpha 90.00
_cell_angle_beta 90.00
_cell_angle_gamma 120.00
_space_group_name_H-M_alt 'R -3'
_space_group_IT_number 148
_space_group_name_Hall '-R 3'
loop_
_atom_site_label
_atom_site_type_symbol
_atom_site_fract_x
_atom_site_fract_y
_atom_site_fract_z
Cd1 Cd 0.0000 0.0000 0.0000
In1 In 0.0473 0.8319 0.7435
Pd1 Pd 0.0485 0.8062 0.0776
Pd2 Pd 0.0610 0.8256 0.4195
```

[10]
# Cd4In2Pd

A relaxed Cd4In2Pd crystal (GGA-PBE, the Alexandria database).

Properties
- uncorrected energy (eV/atom) = -1.957
- volume (Å³/cell) = 402

CIF file:
```
data_Cd4In2Pd
_chemical_formula_sum 'Cd8 In4 Pd2'
_cell_length_a 5.297
_cell_length_b 5.297
_cell_length_c 14.336
_cell_angle_alpha 90.00
_cell_angle_beta 90.00
_cell_angle_gamma 90.00
_space_group_name_H-M_alt 'I 4/m m m'
_space_group_IT_number 139
_space_group_name_Hall '-I 4 2'
loop_
_atom_site_label
_atom_site_type_symbol
_atom_site_fract_x
_atom_site_fract_y
_atom_site_fract_z
Cd1 Cd 0.000 0.000 0.184
Cd2 Cd 0.000 0.500 0.000
In1 In 0.000 0.000 0.384
Pd1 Pd 0.000 0.000 0.000
```

[11]
# Cd12In3Pd5

A relaxed Cd12In3Pd5 crystal (GGA-PBE, the Alexandria database).

Properties
- uncorrected energy (eV/atom) = -2.095
- volume (Å³/cell) = 4354

CIF file:
```
data_Cd12In3Pd5
_chemical_formula_sum 'Cd96 In24 Pd40'
_cell_length_a 16.329
_cell_length_b 16.329
_cell_length_c 16.329
_cell_angle_alpha 90.00
_cell_angle_beta 90.00
_cell_angle_gamma 90.00
_space_group_name_H-M_alt 'I a -3 d'
_space_group_IT_number 230
_space_group_name_Hall '-I 4bd 2c 3'
loop_
_atom_site_label
_atom_site_type_symbol
_atom_site_fract_x
_atom_site_fract_y
_atom_site_fract_z
Cd1 Cd 0.023 0.072 0.647
In1 In 0.000 0.250 0.125
Pd1 Pd 0.000 0.000 0.000
Pd2 Pd 0.000 0.250 0.375
```

[12]
# CdIn2Pd

A relaxed CdIn2Pd crystal (GGA-PBE, the Alexandria database).

Properties
- uncorrected energy (eV/atom) = -3.161
- volume (Å³/cell) = 348

CIF file:
```
data_CdIn2Pd
_chemical_formula_sum 'Cd4 In8 Pd4'
_cell_length_a 3.996
_cell_length_b 9.914
_cell_length_c 8.789
_cell_angle_alpha 90.00
_cell_angle_beta 90.00
_cell_angle_gamma 90.00
_space_group_name_H-M_alt 'C m c m'
_space_group_IT_number 63
_space_group_name_Hall '-C 2c 2'
loop_
_atom_site_label
_atom_site_type_symbol
_atom_site_fract_x
_atom_site_fract_y
_atom_site_fract_z
Cd1 Cd 0.000 0.057 0.250
In1 In 0.000 0.359 0.052
Pd1 Pd 0.000 0.231 0.750
```

[13]
# Cd2InPd

A relaxed Cd2InPd crystal (GGA-PBE, the Alexandria database).

Properties
- uncorrected energy (eV/atom) = -2.616
- volume (Å³/cell) = 83

CIF file:
```
data_Cd2InPd
_chemical_formula_sum 'Cd2 In1 Pd1'
_cell_length_a 3.764
_cell_length_b 3.764
_cell_length_c 5.836
_cell_angle_alpha 90.00
_cell_angle_beta 90.00
_cell_angle_gamma 90.00
_space_group_name_H-M_alt 'P 4/m m m'
_space_group_IT_number 123
_space_group_name_Hall '-P 4 2'
loop_
_atom_site_label
_atom_site_type_symbol
_atom_site_fract_x
_atom_site_fract_y
_atom_site_fract_z
Cd1 Cd 0.000 0.000 0.235
In1 In 0.500 0.500 0.500
Pd1 Pd 0.500 0.500 0.000
```

[14]
# Cd2In5Pd12

A relaxed Cd2In5Pd12 crystal (GGA-PBE, the Alexandria database).

Properties
- uncorrected energy (eV/atom) = -4.347
- volume (Å³/cell) = 740

CIF file:
```
data_Cd2In5Pd12
_chemical_formula_sum 'Cd4 In10 Pd24'
_cell_length_a 15.491
_cell_length_b 5.606
_cell_length_c 8.994
_cell_angle_alpha 90.00
_cell_angle_beta 108.63
_cell_angle_gamma 90.00
_space_group_name_H-M_alt 'C 1 2/m 1'
_space_group_IT_number 12
loop_
_space_group_symop_operation_xyz
'x,y,z'
'-x,-y,-z'
'-x,y,-z'
'x,-y,z'
'x+1/2,y+1/2,z'
'-x+1/2,-y+1/2,-z'
'-x+1/2,y+1/2,-z'
'x+1/2,-y+1/2,z'
loop_
_atom_site_label
_atom_site_type_symbol
_atom_site_fract_x
_atom_site_fract_y
_atom_site_fract_z
Cd1 Cd 0.000 0.246 0.000
In1 In 0.000 0.000 0.500
In2 In 0.150 0.500 0.853
In3 In 0.185 0.500 0.360
Pd1 Pd 0.012 0.500 0.358
Pd2 Pd 0.107 0.000 0.303
Pd3 Pd 0.157 0.250 0.601
Pd4 Pd 0.191 0.241 0.111
```

[15]
# Cd2InPd6

A relaxed Cd2InPd6 crystal (GGA-PBE, the Alexandria database).

Properties
- uncorrected energy (eV/atom) = -4.299
- volume (Å³/cell) = 304
- polymorph energy (0 for the lowest one) (kcal/mol of atoms) = 0.00

CIF file:
```
data_Cd2InPd6
_chemical_formula_sum 'Cd4 In2 Pd12'
_cell_length_a 7.690
_cell_length_b 4.717
_cell_length_c 8.421
_cell_angle_alpha 90.00
_cell_angle_beta 95.52
_cell_angle_gamma 90.00
_space_group_name_H-M_alt 'C 1 2/m 1'
_space_group_IT_number 12
loop_
_space_group_symop_operation_xyz
'x,y,z'
'-x,-y,-z'
'-x,y,-z'
'x,-y,z'
'x+1/2,y+1/2,z'
'-x+1/2,-y+1/2,-z'
'-x+1/2,y+1/2,-z'
'x+1/2,-y+1/2,z'
loop_
_atom_site_label
_atom_site_type_symbol
_atom_site_fract_x
_atom_site_fract_y
_atom_site_fract_z
Cd1 Cd 0.158 0.000 0.262
In1 In 0.000 0.500 0.500
Pd1 Pd 0.007 0.500 0.833
Pd2 Pd 0.172 0.000 0.604
Pd3 Pd 0.172 0.000 0.942
```

[16]
# Cd2InPd4

A relaxed Cd2InPd4 crystal (GGA-PBE, the Alexandria database).

Properties
- uncorrected energy (eV/atom) = -3.879
- volume (Å³/cell) = 264

CIF file:
```
data_Cd2InPd4
_chemical_formula_sum 'Cd4 In2 Pd8'
_cell_length_a 6.605
_cell_length_b 6.605
_cell_length_c 6.063
_cell_angle_alpha 90.00
_cell_angle_beta 90.00
_cell_angle_gamma 90.00
_space_group_name_H-M_alt 'I 4/m m m'
_space_group_IT_number 139
_space_group_name_Hall '-I 4 2'
loop_
_atom_site_label
_atom_site_type_symbol
_atom_site_fract_x
_atom_site_fract_y
_atom_site_fract_z
Cd1 Cd 0.000 0.500 0.000
In1 In 0.000 0.000 0.000
Pd1 Pd 0.250 0.250 0.250
```

[17]
# CdIn3Pd

A relaxed CdIn3Pd crystal (GGA-PBE, the Alexandria database).

Properties
- uncorrected energy (eV/atom) = -3.017
- volume (Å³/cell) = 495
- polymorph energy (0 for the lowest one) (kcal/mol of atoms) = 0.64

CIF file:
```
data_CdIn3Pd
_chemical_formula_sum 'Cd4 In12 Pd4'
_cell_length_a 10.263
_cell_length_b 8.453
_cell_length_c 6.957
_cell_angle_alpha 90.00
_cell_angle_beta 124.88
_cell_angle_gamma 90.00
_space_group_name_H-M_alt 'C 1 2/m 1'
_space_group_IT_number 12
loop_
_space_group_symop_operation_xyz
'x,y,z'
'-x,-y,-z'
'-x,y,-z'
'x,-y,z'
'x+1/2,y+1/2,z'
'-x+1/2,-y+1/2,-z'
'-x+1/2,y+1/2,-z'
'x+1/2,-y+1/2,z'
loop_
_atom_site_label
_atom_site_type_symbol
_atom_site_fract_x
_atom_site_fract_y
_atom_site_fract_z
Cd1 Cd 0.068 0.000 0.255
In1 In 0.082 0.500 0.345
In2 In 0.183 0.201 0.723
Pd1 Pd 0.239 0.500 0.906
```

[18]
# Cd2In2Pd3

A relaxed Cd2In2Pd3 crystal (GGA-PBE, the Alexandria database).

Properties
- uncorrected energy (eV/atom) = -3.697
- volume (Å³/cell) = 136
- polymorph energy (0 for the lowest one) (kcal/mol of atoms) = 0.00

CIF file:
```
data_Cd2In2Pd3
_chemical_formula_sum 'Cd2 In2 Pd3'
_cell_length_a 4.594
_cell_length_b 4.610
_cell_length_c 7.868
_cell_angle_alpha 90.16
_cell_angle_beta 106.87
_cell_angle_gamma 119.88
_space_group_name_H-M_alt 'P -1'
_space_group_IT_number 2
loop_
_space_group_symop_operation_xyz
'x,y,z'
'-x,-y,-z'
loop_
_atom_site_label
_atom_site_type_symbol
_atom_site_fract_x
_atom_site_fract_y
_atom_site_fract_z
Cd1 Cd 0.237 0.368 0.105
In1 In 0.268 0.884 0.652
Pd1 Pd 0.015 0.757 0.273
Pd2 Pd 0.500 0.500 0.500
```

[19]
# CdInPd14

A relaxed CdInPd14 crystal (GGA-PBE, the Alexandria database).

Properties
- uncorrected energy (eV/atom) = -4.937
- volume (Å³/cell) = 254

CIF file:
```
data_CdInPd14
_chemical_formula_sum 'Cd1 In1 Pd14'
_cell_length_a 5.659
_cell_length_b 5.659
_cell_length_c 7.934
_cell_angle_alpha 90.00
_cell_angle_beta 90.00
_cell_angle_gamma 90.00
_space_group_name_H-M_alt 'P 4/m m m'
_space_group_IT_number 123
_space_group_name_Hall '-P 4 2'
loop_
_atom_site_label
_atom_site_type_symbol
_atom_site_fract_x
_atom_site_fract_y
_atom_site_fract_z
Cd1 Cd 0.000 0.000 0.000
In1 In 0.500 0.500 0.000
Pd1 Pd 0.000 0.000 0.500
Pd2 Pd 0.000 0.500 0.000
Pd3 Pd 0.000 0.500 0.500
Pd4 Pd 0.251 0.251 0.253
Pd5 Pd 0.500 0.500 0.500
```

| no. | E_form (eV per atom) |
| --- | --- |
| 1 | -0.4795 |
| 2 | -0.1079 |
| 3 | -0.2900 |
| 4 | -0.3969 |
| 5 | -0.0729 |
| 6 | -0.1408 |
| 7 | -0.0597 |
| 8 | 0.2715 |
| 9 | -0.3910 |
| 10 | 0.0905 |
| 11 | 0.1628 |
| 12 | -0.2645 |
| 13 | -0.1757 |
| 14 | -0.2503 |
| 15 | -0.3295 |
| 16 | -0.2595 |
| 17 | -0.1524 |
| 18 | -0.4279 |
| 19 | -0.1644 |